Below is a relaxed SmHoSn crystal, with properties calculated at the PBE-GGA level.

Cell lengths 7.3226, 7.3226, 7.3226 Å; angles 90.00, 90.00, 90.00 degrees
With the nearest neighbours (Å) after each atom.
Space group F-43m (No. 216)
One atom of each set of equivalent atoms:
Sm (0.0000, 0.0000, 0.0000) x4  4 Sn 3.17
Ho (0.0000, 0.0000, 0.5000) x4  4 Sn 3.17
Sn (0.2500, 0.2500, 0.7500) x4  4 Ho 3.17, 4 Sm 3.17

Results
Total magnetic moment (μB/atom): 0.005
Polymorph energy (0 for the lowest one) (eV per atom): 0.0000


Below is a relaxed DyCuPbSe3 crystal, with properties calculated at the PBE-GGA level.

Cell lengths 10.6093, 4.0719, 13.6167 Å; angles 90.00, 90.00, 90.00 degrees
With the nearest neighbours (Å) after each atom.
Space group Pnma (No. 62)
One atom of each set of equivalent atoms:
Dy (0.0158, 0.2500, 0.2431) x4  6 Se 2.86-2.90
Cu (0.2398, 0.2500, 0.7210) x4  4 Se 2.45-2.52
Pb (0.2249, 0.7500, 0.5067) x4  7 Se 3.13-3.34
Se (0.0491, 0.2500, 0.6144) x4  1 Cu 2.49
Se (0.0835, 0.7500, 0.1057) x4  1 Cu 2.45
Se (0.2377, 0.7500, 0.8300) x4  2 Cu 2.52

Results
Total magnetic moment (μB/atom): 0.000
Energy (eV for the cell shown): -114.28


Below is a relaxed Nd2CoSi2Os crystal, with properties calculated at the PBE-GGA level.

Cell lengths 4.0881, 4.0881, 7.1136 Å; angles 90.00, 90.00, 90.00 degrees
With the nearest neighbours (Å) after each atom.
Space group P-4m2 (No. 115)
One atom of each set of equivalent atoms:
Nd (0.0000, 0.5000, 0.1786) x2  2 Co 3.07, 2 Os 3.07, 4 Si 3.07
Co (0.5000, 0.5000, 0.5000) x1  4 Si 2.39
Si (0.0000, 0.5000, 0.6750) x2  2 Co 2.39, 2 Os 2.39
Os (0.0000, 0.0000, 0.5000) x1  4 Si 2.39

Results
Total magnetic moment (μB/atom): 0.001
Energy (eV for the cell shown): -42.73


Below is a relaxed Dy3Mg3AlCdHg crystal, with properties calculated at the PBE-GGA level.

Cell lengths 7.4470, 7.4470, 4.5723 Å; angles 90.00, 90.00, 120.00 degrees
With the nearest neighbours (Å) after each atom.
Space group P-6 (No. 174)
One atom of each set of equivalent atoms:
Dy (0.0959, 0.7571, 0.0000) x3  2 Al 3.16, 1 Cd 3.18, 2 Hg 3.21, 2 Mg 3.35
Mg (0.4226, 0.0876, 0.5000) x3  1 Al 2.86, 1 Hg 2.88, 2 Cd 2.92, 2 Mg 3.16
Al (0.3333, 0.6667, 0.5000) x1  3 Mg 2.86, 6 Dy 3.16
Cd (0.6667, 0.3333, 0.0000) x1  6 Mg 2.92, 3 Dy 3.18
Hg (0.0000, 0.0000, 0.5000) x1  3 Mg 2.88, 6 Dy 3.21

Results
Total magnetic moment (μB/atom): 0.001
Energy (eV for the cell shown): -26.37